[1]
Compound: TlFeTe2
Source: Alexandria
Functional: PBE
Structure: optimized geometry

Output
**Fermi-level density of states**: 4.1 states/eV per cell
**Calculated total energy**: -15.4 eV per cell
**Volume**: 109.39 Å³ per cell
**E_form (uncorrected)**: 436 meV/atom

```
4
Lattice="5.331 0.099 -0.152 -1.554 5.100 -0.152 1.012 1.393 3.919" Properties=species:S:1:pos:R:3 pbc="T T T"
Tl 3.172 0.746 1.884
Te 0.000 0.000 0.000
Te 1.889 2.600 -0.152
Fe -0.271 3.247 1.884
```

---

[2]
Compound: ZnFeBr
Source: Alexandria
Functional: PBE
Structure: optimized geometry

Output
**Fermi-level density of states**: 2.6 states/eV per cell
**Calculated total energy**: -9.7 eV per cell
**Volume**: 59.18 Å³ per cell
**E_form (uncorrected)**: 582 meV/atom
**Polymorph energy (0 for the lowest one)**: 391 meV/atom

```
3
Lattice="-2.751 -2.968 -1.662 1.149 -2.311 -3.532 0.898 -4.265 0.373" Properties=species:S:1:pos:R:3 pbc="T T T"
Fe -0.528 -7.157 -3.615
Zn 0.000 0.000 0.000
Br -0.352 -4.772 -2.410
```

---

[3]
Compound: Mn10NiN8
Source: Alexandria
Functional: PBE
Structure: optimized geometry

Output
**Fermi-level density of states**: 7.9 states/eV per cell
**Calculated total energy**: -168.2 eV per cell
**Volume**: 184.41 Å³ per cell
**E_form (uncorrected)**: -215 meV/atom

```
19
Lattice="-0.734 7.130 -2.324 -1.618 -0.224 -3.706 -5.731 2.079 2.376" Properties=species:S:1:pos:R:3 pbc="T T T"
N -5.189 2.127 -0.077
N -5.635 6.381 -2.352
N -6.234 7.711 0.042
N -1.848 1.274 -3.696
N -2.894 6.857 -3.577
N -4.872 3.530 -2.513
N -2.448 2.604 -1.302
N -3.211 5.455 -1.141
Ni -3.675 0.927 -0.665
Mn -6.320 4.637 -1.947
Mn -1.030 1.360 -1.845
Mn -2.029 6.999 -1.751
Mn -1.763 4.348 -1.707
Mn -4.813 6.478 -0.504
Mn -4.019 5.369 -2.996
Mn -7.053 7.625 -1.808
Mn -3.270 2.507 -3.150
Mn -6.054 1.986 -1.903
Mn -4.064 3.616 -0.658
```

---

[4]
Compound: SrNpPaO6
Source: Alexandria
Functional: PBE
Structure: optimized geometry

Output
**Fermi-level density of states**: 16.1 states/eV per cell
**Calculated total energy**: -165.4 eV per cell
**Volume**: 309.44 Å³ per cell
**E_form (uncorrected)**: -3203 meV/atom

```
18
Lattice="-1.445 -4.371 -3.800 5.490 2.342 -0.093 3.024 -6.822 6.698" Properties=species:S:1:pos:R:3 pbc="T T T"
O 4.525 -5.660 1.859
O 2.544 -3.191 0.945
O 3.099 -5.301 -1.455
O 4.092 -6.567 4.313
O 3.970 -3.550 4.259
O 6.882 -3.657 2.835
O 0.187 -5.194 -0.031
O 6.069 -4.374 5.654
O 2.977 -2.284 -1.509
O 7.139 -6.265 3.245
O 1.000 -4.477 -2.850
O -0.070 -2.587 -0.441
Np 5.446 -5.012 3.694
Np 1.623 -3.839 -0.890
Pa 3.135 -7.250 2.459
Pa 3.934 -1.601 0.346
Sr 0.000 0.000 0.000
Sr 1.512 -3.411 3.349
```

---

[5]
Compound: SrBIO2
Source: Alexandria
Functional: PBE
Structure: optimized geometry

Output
**Fermi-level density of states**: 1.5 states/eV per cell
**Calculated total energy**: -18.0 eV per cell
**Volume**: 146.84 Å³ per cell
**E_form (uncorrected)**: 371 meV/atom
**Polymorph energy (0 for the lowest one)**: 609 meV/atom

```
5
Lattice="4.538 0.000 0.000 0.000 4.538 0.000 0.000 0.000 7.129" Properties=species:S:1:pos:R:3 pbc="T T T"
O 2.269 0.000 0.000
O 0.000 2.269 0.000
I 0.000 0.000 3.565
B 2.269 2.269 3.565
Sr 0.000 0.000 0.000
```

---

[6]
Compound: PmEr7Tm3
Source: Alexandria
Functional: PBE
Structure: optimized geometry

Output
**Fermi-level density of states**: 17.8 states/eV per cell
**Calculated total energy**: -48.4 eV per cell
**Volume**: 347.41 Å³ per cell
**Polymorph energy (0 for the lowest one)**: 0 meV/atom
**Formation enthalpy at 0 K**: 0.154 eV/atom

```
11
Lattice="-1.847 6.869 -5.148 -6.820 -6.678 -2.167 -1.058 -0.649 5.331" Properties=species:S:1:pos:R:3 pbc="T T T"
Tm -1.220 1.036 2.695
Tm -3.410 -3.339 -1.083
Tm -8.505 -1.494 -4.679
Er -3.476 -1.618 1.922
Er -1.350 -0.677 -0.351
Er -6.248 1.160 -3.906
Er -3.338 2.430 -3.174
Er -1.452 3.110 0.091
Er -8.375 0.219 -1.633
Er -6.387 -2.888 1.189
Pm -4.862 -0.229 -0.992
```

---

[7]
Compound: AlNi4
Source: Alexandria
Functional: PBE
Structure: optimized geometry

Output
**Fermi-level density of states**: 7.8 states/eV per cell
**Calculated total energy**: -28.4 eV per cell
**Volume**: 56.25 Å³ per cell
**Formation enthalpy at 0 K**: -0.316 eV/atom

```
5
Lattice="-0.988 -0.489 -4.205 0.286 -2.892 3.233 -3.480 2.245 1.321" Properties=species:S:1:pos:R:3 pbc="T T T"
Ni -1.388 -1.095 -1.807
Ni -2.425 0.577 -0.258
Ni -1.757 -1.713 0.608
Ni -2.794 -0.040 2.157
Al 0.000 0.000 0.000
```